[1]
Material: TeAs2F
Method: DFT, GGA-PBE
State: relaxed

Summary:
M_tot = 0.0 μB per formula unit
ΔE to the lowest computed polymorph = 250 meV/atom
final energy = -3.65 eV per atom
raw formation energy = -72.9 meV/atom

Cell: 4.7740 4.7740 4.7740 Å, 60.00 60.00 60.00°
Last column: nearest neighbours and their distance in Å.
Atoms (fractional coordinates):
1 Te 0.5000 0.5000 0.5000  8 As 2.92
2 As 0.7500 0.7500 0.7500  4 F 2.92, 4 Te 2.92
3 As 0.2500 0.2500 0.2500  4 F 2.92, 4 Te 2.92
4 F 0.0000 0.0000 0.0000  8 As 2.92

[2]
Material: YTeAsF2
Method: DFT, GGA-PBE
State: relaxed

Summary:
M_tot = 0.0 μB per formula unit
final energy = -5.84 eV per atom
raw formation energy = -2239.4 meV/atom

Cell: 4.2777 4.2777 6.1949 Å, 90.00 90.00 90.00°
Last column: nearest neighbours and their distance in Å.
Atoms (fractional coordinates):
1 F 0.0000 0.5000 0.0000  2 Y 2.14
2 F 0.5000 0.0000 0.0000  2 Y 2.14
3 Y 0.0000 0.0000 0.0000  4 F 2.14
4 As 0.0000 0.0000 0.5000  4 Te 3.02, 2 Y 3.10
5 Te 0.5000 0.5000 0.5000  4 As 3.02

[3]
Material: ZnTeAs2F
Method: DFT, GGA-PBE
State: relaxed

Summary:
M_tot = 1.8 μB per formula unit
final energy = -2.45 eV per atom
raw formation energy = 668.7 meV/atom

Cell: 5.4507 5.3148 5.4507 Å, 90.00 90.00 90.00°
Last column: nearest neighbours and their distance in Å.
Atoms (fractional coordinates):
1 As 0.0000 0.0000 0.5000  2 Te 2.73
2 As 0.5000 0.0000 0.0000  2 Te 2.73
3 Zn 0.0000 0.5000 0.0000  2 Te 2.66
4 F 0.5000 0.5000 0.5000  8 As 3.81, 4 Zn 3.85
5 Te 0.0000 0.0000 0.0000  2 Zn 2.66, 4 As 2.73

[4]
Material: TiAsF2
Method: DFT, GGA-PBE
State: relaxed

Summary:
M_tot = 0.0 μB per formula unit
ΔE to the lowest computed polymorph = 803 meV/atom
final energy = -5.11 eV per atom
raw formation energy = -1033.4 meV/atom

Cell: 4.1913 4.1913 4.1913 Å, 60.00 60.00 60.00°
Last column: nearest neighbours and their distance in Å.
Atoms (fractional coordinates):
1 F 0.2500 0.2500 0.2500  4 As 2.57, 4 Ti 2.57
2 F 0.7500 0.7500 0.7500  4 Ti 2.57, 4 As 2.57
3 Ti 0.0000 0.0000 0.0000  8 F 2.57
4 As 0.5000 0.5000 0.5000  8 F 2.57

[5]
Material: Ti2AsF
Method: DFT, GGA-PBE
State: relaxed

Summary:
M_tot = 0.0 μB per formula unit
ΔE to the lowest computed polymorph = 0 meV/atom
final energy = -6.68 eV per atom
raw formation energy = -1106.5 meV/atom

Cell: 4.3332 4.3332 4.3332 Å, 60.00 60.00 60.00°
Last column: nearest neighbours and their distance in Å.
Atoms (fractional coordinates):
1 As 0.5000 0.5000 0.5000  8 Ti 2.65
2 Ti 0.2500 0.2500 0.2500  4 As 2.65, 4 F 2.65
3 Ti 0.7500 0.7500 0.7500  4 F 2.65, 4 As 2.65
4 F 0.0000 0.0000 0.0000  8 Ti 2.65

[6]
Material: TiAs2F
Method: DFT, GGA-PBE
State: relaxed

Summary:
M_tot = 0.0 μB per formula unit
ΔE to the lowest computed polymorph = 187 meV/atom
final energy = -5.24 eV per atom
raw formation energy = -470.7 meV/atom

Cell: 4.4700 4.4700 4.4700 Å, 60.00 60.00 60.00°
Last column: nearest neighbours and their distance in Å.
Atoms (fractional coordinates):
1 Ti 0.5000 0.5000 0.5000  8 As 2.74
2 F 0.0000 0.0000 0.0000  8 As 2.74
3 As 0.2500 0.2500 0.2500  4 Ti 2.74, 4 F 2.74
4 As 0.7500 0.7500 0.7500  4 Ti 2.74, 4 F 2.74

[7]
Material: Ti2AsF
Method: DFT, GGA-PBE
State: relaxed

Summary:
M_tot = 0.0 μB per formula unit
ΔE to the lowest computed polymorph = 240 meV/atom
final energy = -6.44 eV per atom
raw formation energy = -866.3 meV/atom

Cell: 4.6456 4.6456 7.2677 Å, 71.36 71.36 90.00°
Last column: nearest neighbours and their distance in Å.
Atoms (fractional coordinates):
1 Ti 0.3750 0.4781 0.7500  2 F 2.11
2 Ti 0.2281 0.6250 0.2500  2 F 2.11
3 Ti 0.8750 0.7719 0.7500  2 F 2.11
4 Ti 0.5219 0.1250 0.2500  2 F 2.11
5 F 0.5000 0.5000 0.0000  4 Ti 2.11
6 F 0.2500 0.7500 0.5000  4 Ti 2.11
7 As 0.7500 0.2500 0.5000  4 Ti 2.58
8 As 0.0000 0.0000 0.0000  4 Ti 2.58

[8]
Material: TiAs2F
Method: DFT, GGA-PBE
State: relaxed

Summary:
M_tot = 1.0 μB per formula unit
ΔE to the lowest computed polymorph = 0 meV/atom
final energy = -5.42 eV per atom
raw formation energy = -657.4 meV/atom

Cell: 3.7158 3.7158 10.1279 Å, 79.43 79.43 90.00°
Last column: nearest neighbours and their distance in Å.
Atoms (fractional coordinates):
1 F 0.5000 0.5000 0.0000  4 Ti 2.63, 4 As 2.81
2 F 0.2500 0.7500 0.5000  4 Ti 2.63, 4 As 2.81
3 As 0.6488 0.1250 0.2500  4 As 2.51-2.76, 2 Ti 2.75
4 As 0.8750 0.8988 0.7500  4 As 2.51-2.76, 2 Ti 2.75
5 As 0.1012 0.6250 0.2500  4 As 2.51-2.76, 2 Ti 2.75
6 As 0.3750 0.3512 0.7500  4 As 2.51-2.76, 2 Ti 2.75
7 Ti 0.0000 0.0000 0.0000  4 F 2.63, 4 As 2.75
8 Ti 0.7500 0.2500 0.5000  4 F 2.63, 4 As 2.75

[9]
Material: TiAs3F
Method: DFT, GGA-PBE
State: relaxed

Summary:
M_tot = 0.0 μB per formula unit
final energy = -4.92 eV per atom
raw formation energy = -175.1 meV/atom

Cell: 4.7988 4.7988 4.7988 Å, 90.00 90.00 90.00°
Last column: nearest neighbours and their distance in Å.
Atoms (fractional coordinates):
1 As 0.0000 0.0000 0.5000  2 Ti 2.40
2 As 0.5000 0.0000 0.0000  2 Ti 2.40
3 As 0.0000 0.5000 0.0000  2 Ti 2.40
4 F 0.5000 0.5000 0.5000  12 As 3.39
5 Ti 0.0000 0.0000 0.0000  6 As 2.40

[10]
Material: Ti3AsF
Method: DFT, GGA-PBE
State: relaxed

Summary:
M_tot = 1.4 μB per formula unit
ΔE to the lowest computed polymorph = 0 meV/atom
final energy = -6.74 eV per atom
raw formation energy = -703.7 meV/atom

Cell: 4.1538 4.1538 4.1538 Å, 90.00 90.00 90.00°
Last column: nearest neighbours and their distance in Å.
Atoms (fractional coordinates):
1 F 0.0000 0.0000 0.0000  6 Ti 2.08
2 As 0.5000 0.5000 0.5000  12 Ti 2.94
3 Ti 0.0000 0.0000 0.5000  2 F 2.08
4 Ti 0.0000 0.5000 0.0000  2 F 2.08
5 Ti 0.5000 0.0000 0.0000  2 F 2.08

[11]
Material: TiAsF2
Method: DFT, GGA-PBE
State: relaxed

Summary:
M_tot = 0.0 μB per formula unit
ΔE to the lowest computed polymorph = 0 meV/atom
final energy = -5.91 eV per atom
raw formation energy = -1836.8 meV/atom

Cell: 10.2749 10.2749 10.2749 Å, 15.54 15.54 15.54°
Last column: nearest neighbours and their distance in Å.
Atoms (fractional coordinates):
1 As 0.0000 0.0000 0.0000  6 As 2.78
2 Ti 0.5000 0.5000 0.5000  6 F 2.11
3 F 0.8784 0.8784 0.8784  3 Ti 2.11
4 F 0.1216 0.1216 0.1216  3 Ti 2.11

[12]
Material: TiAsF2
Method: DFT, GGA-PBE
State: relaxed

Summary:
M_tot = 0.0 μB per formula unit
ΔE to the lowest computed polymorph = 269 meV/atom
final energy = -5.64 eV per atom
raw formation energy = -1567.5 meV/atom

Cell: 3.7889 3.7889 7.9736 Å, 76.26 76.26 90.00°
Last column: nearest neighbours and their distance in Å.
Atoms (fractional coordinates):
1 F 0.5690 0.1250 0.2500  2 Ti 2.23, 2 F 2.40, 2 As 2.40
2 F 0.8750 0.8190 0.7500  2 Ti 2.23, 2 F 2.40, 2 As 2.40
3 F 0.1810 0.6250 0.2500  2 Ti 2.23, 2 F 2.40, 2 As 2.40
4 F 0.3750 0.4311 0.7500  2 Ti 2.23, 2 F 2.40, 2 As 2.40
5 Ti 0.2500 0.7500 0.5000  4 F 2.23
6 Ti 0.5000 0.5000 0.0000  4 F 2.23
7 As 0.7500 0.2500 0.5000  4 F 2.40, 4 Ti 2.68
8 As 0.0000 0.0000 0.0000  4 F 2.40, 4 Ti 2.68